A:
Entry from the Alexandria database: a relaxed structure of Zr2NbV (PBE).

abc: 6.814 6.814 6.814
angles: 90.00 90.00 90.00
Space group Fm-3m (No. 225)
Symmetry-distinct sites (fractional):
Zr (0.250, 0.250, 0.250) x8
Nb (0.000, 0.000, 0.000) x4
V (0.000, 0.000, 0.500) x4

=====

B:
Entry from the Alexandria database: a relaxed structure of Zr2NbV (PBE).

abc: 7.441 7.441 5.768
angles: 90.00 90.00 90.00
Space group I-42d (No. 122)
Symmetry-distinct sites (fractional):
Zr (0.236, 0.250, 0.125) x8
Nb (0.000, 0.000, 0.500) x4
V (0.000, 0.000, 0.000) x4

=====

C:
Entry from the Alexandria database: a relaxed structure of Zr2NbV (PBE).

abc: 2.9093 2.9093 32.7639
angles: 90.00 90.00 120.00
Space group R-3m (No. 166, hexagonal axes)
Symmetry-distinct sites (fractional):
Zr (0.0000, 0.0000, 0.0831) x6
Nb (0.0000, 0.0000, 0.5000) x3
V (0.0000, 0.0000, 0.0000) x3

=====

D:
Entry from the Alexandria database: a relaxed structure of Zr2NbV (PBE).

abc: 3.421 3.421 6.707
angles: 90.00 90.00 90.00
Space group P4/mmm (No. 123)
Symmetry-distinct sites (fractional):
Zr (0.000, 0.000, 0.243) x2
Nb (0.500, 0.500, 0.500) x1
V (0.500, 0.500, 0.000) x1

=====

The most stable of them is A.

=====

A:
Entry from the Alexandria database: a relaxed structure of ZrNbV2 (PBE).

abc: 6.497 6.497 6.497
angles: 90.00 90.00 90.00
Space group Fm-3m (No. 225)
Symmetry-distinct sites (fractional):
Zr (0.000, 0.000, 0.000) x4
Nb (0.000, 0.000, 0.500) x4
V (0.250, 0.250, 0.250) x8

=====

B:
Entry from the Alexandria database: a relaxed structure of ZrNbV2 (PBE).

abc: 4.588 4.588 3.246
angles: 90.00 90.00 90.00
Space group P4/mmm (No. 123)
Symmetry-distinct sites (fractional):
Zr (0.000, 0.000, 0.000) x1
Nb (0.500, 0.500, 0.000) x1
V (0.000, 0.500, 0.500) x2

=====

C:
Entry from the Alexandria database: a relaxed structure of ZrNbV2 (PBE).

abc: 7.077 7.077 5.656
angles: 90.00 90.00 90.00
Space group I-42d (No. 122)
Symmetry-distinct sites (fractional):
Zr (0.000, 0.000, 0.000) x4
Nb (0.000, 0.000, 0.500) x4
V (0.236, 0.750, 0.625) x8

=====

D:
Entry from the Alexandria database: a relaxed structure of ZrNbV2 (PBE).

abc: 3.231 3.231 6.590
angles: 90.00 90.00 90.00
Space group P4/mmm (No. 123)
Symmetry-distinct sites (fractional):
Zr (0.000, 0.000, 0.000) x1
Nb (0.000, 0.000, 0.500) x1
V (0.500, 0.500, 0.279) x2

=====

The most stable of them is D.

=====

A:
Entry from the Alexandria database: a relaxed structure of ZrNb3V (PBE).

abc: 4.907 4.907 4.907
angles: 90.00 90.00 90.00
Space group Pm-3m (No. 221)
Symmetry-distinct sites (fractional):
Zr (0.000, 0.000, 0.000) x1
Nb (0.000, 0.000, 0.500) x3
V (0.500, 0.500, 0.500) x1

=====

B:
Entry from the Alexandria database: a relaxed structure of ZrNb3V (PBE).

abc: 4.693 4.693 4.693
angles: 90.00 90.00 90.00
Space group Pm-3m (No. 221)
Symmetry-distinct sites (fractional):
Zr (0.000, 0.000, 0.000) x1
Nb (0.000, 0.500, 0.500) x3
V (0.500, 0.500, 0.500) x1

=====

The most stable of them is B.

=====

A:
Entry from the Alexandria database: a relaxed structure of Zr2NbV2 (PBE).

abc: 3.977 3.977 12.135
angles: 90.00 90.00 90.00
Space group I4/mmm (No. 139)
Symmetry-distinct sites (fractional):
Zr (0.000, 0.500, 0.250) x4
Nb (0.000, 0.000, 0.000) x2
V (0.000, 0.000, 0.421) x4

=====

B:
Entry from the Alexandria database: a relaxed structure of Zr2NbV2 (PBE).

abc: 6.978 6.978 3.867
angles: 90.00 90.00 90.00
Space group P4/mbm (No. 127)
Symmetry-distinct sites (fractional):
Zr (0.170, 0.330, 0.000) x4
Nb (0.000, 0.000, 0.500) x2
V (0.131, 0.631, 0.500) x4

=====

The most stable of them is B.

=====

A:
Entry from the Alexandria database: a relaxed structure of Nb4W5 (PBE).

abc: 8.126 8.126 4.748
angles: 90.00 90.00 90.00
Space group I4/mmm (No. 139)
Symmetry-distinct sites (fractional):
Nb (0.000, 0.326, 0.000) x8
W (0.000, 0.000, 0.000) x2
W (0.162, 0.162, 0.500) x8

=====

B:
Entry from the Alexandria database: a relaxed structure of Nb4W5 (PBE).

abc: 9.727 9.727 3.224
angles: 90.00 90.00 90.00
Space group I4/mmm (No. 139)
Symmetry-distinct sites (fractional):
Nb (0.000, 0.328, 0.000) x8
W (0.000, 0.000, 0.000) x2
W (0.166, 0.166, 0.500) x8

=====

The most stable of them is B.

=====

A:
Entry from the Alexandria database: a relaxed structure of Nb3W2 (PBE).

abc: 15.325 3.111 9.467
angles: 90.00 126.60 90.00
Space group C2/m (No. 12)
Symmetry-distinct sites (fractional):
Nb (0.053, 0.000, 0.430) x4
Nb (0.158, 0.500, 0.811) x4
Nb (0.249, 0.500, 0.627) x4
W (0.067, 0.500, 0.201) x4
W (0.108, 0.000, 0.999) x4

=====

B:
Entry from the Alexandria database: a relaxed structure of Nb3W2 (PBE).

abc: 2.743 9.676 26.584
angles: 90.00 90.00 90.00
Space group Fddd (No. 70, origin choice 2)
Symmetry-distinct sites (fractional):
Nb (0.125, 0.125, 0.025) x16
Nb (0.125, 0.125, 0.625) x8
W (0.125, 0.125, 0.424) x16

=====

The most stable of them is B.